# Ba2Cu2Bi

A PBEsol-optimized structure of Ba2Cu2Bi (SCAN, Alexandria).

POSCAR file:
```
Ba2Cu2Bi
1.0
6.140 0.000 0.000
0.000 6.140 0.000
0.000 0.000 8.048
Ba Cu Bi
4 4 2
Direct
0.000 0.500 0.250
0.000 0.500 0.750
0.500 0.000 0.250
0.500 0.000 0.750
0.000 0.000 0.144
0.000 0.000 0.856
0.500 0.500 0.356
0.500 0.500 0.644
0.000 0.000 0.500
0.500 0.500 0.000
```

The value obtained for the formation energy is -213.7 meV per atom. As for the size of the total moment: 0.00 μB per cell. As for the total DFT energy (no corrections): -37.83 eV per atom.